Entry 1:
## La4Tl5Pb (PBE)

Data for crystalline La4Tl5Pb at its relaxed geometry.

Output
- Relative energy among the computed polymorphs: 0.260 eV per atom

a = 8.1970 Å, b = 10.4223 Å, c = 7.9387 Å
α = 90.00°, β = 90.00°, γ = 90.00°
Sites, in units of the cell vectors:
La (0.8178, 0.0000, 0.7585)
La (0.5241, 0.6850, 0.0000)
La (0.5241, 0.3150, 0.0000)
La (0.8178, 0.0000, 0.2415)
La (0.1822, 0.5000, 0.2585)
La (0.4759, 0.8150, 0.5000)
La (0.4759, 0.1850, 0.5000)
La (0.1822, 0.5000, 0.7415)
Tl (0.1823, 0.8167, 0.8081)
Tl (0.1823, 0.1833, 0.8081)
Tl (0.8809, 0.5000, 0.0000)
Tl (0.1823, 0.8167, 0.1919)
Tl (0.1823, 0.1833, 0.1919)
Tl (0.8177, 0.6833, 0.3081)
Tl (0.8177, 0.3167, 0.3081)
Tl (0.1191, 0.0000, 0.5000)
Tl (0.8177, 0.3167, 0.6919)
Tl (0.8177, 0.6833, 0.6919)
Pb (0.4798, 0.0000, 0.0000)
Pb (0.5202, 0.5000, 0.5000)


Entry 2:
## La2Tl2Pb (PBE)

Data for crystalline La2Tl2Pb at its relaxed geometry.

Output
- Relative energy among the computed polymorphs: 0.176 eV per atom

a = 9.0333 Å, b = 9.0333 Å, c = 4.1345 Å
α = 90.00°, β = 90.00°, γ = 90.00°
Sites, in units of the cell vectors:
Pb (0.0000, 0.0000, 0.0000)
Pb (0.5000, 0.5000, 0.0000)
Tl (0.1351, 0.6351, 0.5000)
Tl (0.6351, 0.8649, 0.5000)
Tl (0.8649, 0.3649, 0.5000)
Tl (0.3649, 0.1351, 0.5000)
La (0.3317, 0.8317, 0.0000)
La (0.8317, 0.6683, 0.0000)
La (0.6683, 0.1683, 0.0000)
La (0.1683, 0.3317, 0.0000)


Entry 3:
## La7Tl3Pb (PBE)

Data for crystalline La7Tl3Pb at its relaxed geometry.

a = 6.1848 Å, b = 8.4539 Å, c = 8.4539 Å
α = 92.32°, β = 111.64°, γ = 111.64°
Sites, in units of the cell vectors:
La (0.1699, 0.1688, 0.1688)
La (0.3357, 0.0741, 0.5964)
La (0.6643, 0.4036, 0.9259)
La (0.3357, 0.5964, 0.0741)
La (0.0000, 0.5000, 0.5000)
La (0.6643, 0.9259, 0.4036)
La (0.8301, 0.8312, 0.8312)
Tl (0.0000, 0.7635, 0.2365)
Tl (0.5000, 0.0000, 0.0000)
Tl (0.0000, 0.2365, 0.7635)
Pb (0.5000, 0.5000, 0.5000)


Entry 4:
## La2TlPb4 (PBE)

Data for crystalline La2TlPb4 at its relaxed geometry.

Output
- Relative energy among the computed polymorphs: 0.480 eV per atom

a = 5.7805 Å, b = 5.7805 Å, c = 9.0279 Å
α = 71.33°, β = 71.33°, γ = 90.00°
Sites, in units of the cell vectors:
Pb (0.1802, 0.1802, 0.6395)
Pb (0.8198, 0.8198, 0.3605)
Pb (0.0000, 0.5000, 0.0000)
Pb (0.5000, 0.0000, 0.0000)
Tl (0.0000, 0.0000, 0.0000)
La (0.3826, 0.3826, 0.2349)
La (0.6174, 0.6174, 0.7651)


Entry 5:
## LaTl2Pb2 (PBE)

Data for crystalline LaTl2Pb2 at its relaxed geometry.

Output
- Relative energy among the computed polymorphs: 0.000 eV per atom

a = 4.9025 Å, b = 4.8070 Å, c = 13.1081 Å
α = 90.00°, β = 100.78°, γ = 90.00°
Sites, in units of the cell vectors:
La (0.3549, 0.2500, 0.7097)
La (0.6451, 0.7500, 0.2903)
Tl (0.0484, 0.7500, 0.0969)
Tl (0.4547, 0.7500, 0.9094)
Tl (0.9516, 0.2500, 0.9031)
Tl (0.5453, 0.2500, 0.0906)
Pb (0.7501, 0.2500, 0.5002)
Pb (0.2499, 0.7500, 0.4998)
Pb (0.8517, 0.7500, 0.7033)
Pb (0.1483, 0.2500, 0.2967)


Entry 6:
## La2Tl2Pb (PBE)

Data for crystalline La2Tl2Pb at its relaxed geometry.

Output
- Relative energy among the computed polymorphs: 0.003 eV per atom

a = 8.1986 Å, b = 8.1986 Å, c = 4.7925 Å
α = 90.00°, β = 90.00°, γ = 90.00°
Sites, in units of the cell vectors:
Pb (0.0000, 0.0000, 0.0000)
Pb (0.5000, 0.5000, 0.0000)
Tl (0.3684, 0.8684, 0.0000)
Tl (0.8684, 0.6316, 0.0000)
Tl (0.6316, 0.1316, 0.0000)
Tl (0.1316, 0.3684, 0.0000)
La (0.1689, 0.6689, 0.5000)
La (0.6689, 0.8311, 0.5000)
La (0.8311, 0.3311, 0.5000)
La (0.3311, 0.1689, 0.5000)


Entry 7:
## LaTl4Pb (PBE)

Data for crystalline LaTl4Pb at its relaxed geometry.

a = 6.3938 Å, b = 6.3938 Å, c = 6.3938 Å
α = 60.00°, β = 60.00°, γ = 60.00°
Sites, in units of the cell vectors:
La (0.7500, 0.7500, 0.7500)
Tl (0.8758, 0.3747, 0.3747)
Tl (0.3747, 0.3747, 0.8758)
Tl (0.3747, 0.8758, 0.3747)
Tl (0.3747, 0.3747, 0.3747)
Pb (0.0000, 0.0000, 0.0000)


Entry 8:
## LaTl2Pb2 (PBE)

Data for crystalline LaTl2Pb2 at its relaxed geometry.

Output
- Relative energy among the computed polymorphs: 0.146 eV per atom

a = 4.5532 Å, b = 4.5532 Å, c = 8.7130 Å
α = 74.85°, β = 74.85°, γ = 90.00°
Sites, in units of the cell vectors:
Pb (0.4056, 0.4056, 0.1887)
Pb (0.5944, 0.5944, 0.8113)
Tl (0.7500, 0.2500, 0.5000)
Tl (0.2500, 0.7500, 0.5000)
La (0.0000, 0.0000, 0.0000)


Entry 9:
## La15Tl4Pb (PBE)

Data for crystalline La15Tl4Pb at its relaxed geometry.

a = 5.0752 Å, b = 5.0752 Å, c = 25.3162 Å
α = 90.00°, β = 90.00°, γ = 90.00°
Sites, in units of the cell vectors:
La (0.5000, 0.5000, 0.0000)
La (0.5000, 0.5000, 0.2010)
La (0.5000, 0.5000, 0.4001)
La (0.5000, 0.5000, 0.5999)
La (0.5000, 0.5000, 0.7990)
La (0.5000, 0.0000, 0.0998)
La (0.5000, 0.0000, 0.3000)
La (0.5000, 0.0000, 0.5000)
La (0.5000, 0.0000, 0.7000)
La (0.5000, 0.0000, 0.9002)
La (0.0000, 0.5000, 0.0998)
La (0.0000, 0.5000, 0.3000)
La (0.0000, 0.5000, 0.5000)
La (0.0000, 0.5000, 0.7000)
La (0.0000, 0.5000, 0.9002)
Tl (0.0000, 0.0000, 0.2002)
Tl (0.0000, 0.0000, 0.4000)
Tl (0.0000, 0.0000, 0.6000)
Tl (0.0000, 0.0000, 0.7998)
Pb (0.0000, 0.0000, 0.0000)


Entry 10:
## La6TlPb5 (PBE)

Data for crystalline La6TlPb5 at its relaxed geometry.

a = 5.2159 Å, b = 9.4743 Å, c = 9.4743 Å
α = 111.80°, β = 105.98°, γ = 105.98°
Sites, in units of the cell vectors:
Pb (0.5000, 0.1646, 0.8354)
Pb (0.0000, 0.3336, 0.6665)
Pb (0.5000, 0.5000, 0.5000)
Pb (0.0000, 0.6664, 0.3335)
Pb (0.5000, 0.8354, 0.1646)
Tl (0.0000, 0.0000, 0.0000)
La (0.2493, 0.0823, 0.4160)
La (0.7507, 0.5839, 0.9177)
La (0.7491, 0.2488, 0.2488)
La (0.2509, 0.7512, 0.7512)
La (0.2493, 0.4161, 0.0823)
La (0.7507, 0.9177, 0.5840)


Entry 11:
## La4TlPb3 (PBE)

Data for crystalline La4TlPb3 at its relaxed geometry.

a = 5.2359 Å, b = 5.2360 Å, c = 9.9256 Å
α = 105.33°, β = 105.29°, γ = 90.00°
Sites, in units of the cell vectors:
Pb (0.0000, 0.5000, 0.0000)
Pb (0.7499, 0.2500, 0.4998)
Pb (0.2501, 0.7500, 0.5002)
Tl (0.5000, 0.0000, 0.0000)
La (0.3758, 0.3756, 0.7516)
La (0.6242, 0.6244, 0.2484)
La (0.1242, 0.1243, 0.2484)
La (0.8758, 0.8757, 0.7516)


Entry 12:
## La4Tl2Pb (PBE)

Data for crystalline La4Tl2Pb at its relaxed geometry.

Output
- Relative energy among the computed polymorphs: 0.245 eV per atom

a = 6.0570 Å, b = 6.0570 Å, c = 9.0309 Å
α = 70.41°, β = 70.41°, γ = 90.00°
Sites, in units of the cell vectors:
Pb (0.0000, 0.0000, 0.0000)
Tl (0.3933, 0.3933, 0.2134)
Tl (0.6067, 0.6067, 0.7866)
La (0.1965, 0.1965, 0.6070)
La (0.8035, 0.8035, 0.3930)
La (0.0000, 0.5000, 0.0000)
La (0.5000, 0.0000, 0.0000)


Number 1: DOS at the Fermi energy 19.002 states/eV/cell, E_tot -73.482 eV per cell, magnetic moment 0.0 μB per formula unit. Number 2: DOS at the Fermi energy 10.535 states/eV/cell, E_tot -38.979 eV per cell, magnetic moment 0.0 μB per formula unit. Number 3: DOS at the Fermi energy 10.212 states/eV/cell, E_tot -48.309 eV per cell, magnetic moment 0.0 μB per formula unit. Number 4: DOS at the Fermi energy 5.132 states/eV/cell, E_tot -26.306 eV per cell, magnetic moment 0.0 μB per formula unit. Number 5: DOS at the Fermi energy 6.465 states/eV/cell, E_tot -36.813 eV per cell, magnetic moment 0.0 μB per formula unit. Number 6: DOS at the Fermi energy 7.983 states/eV/cell, E_tot -40.704 eV per cell, magnetic moment 0.0 μB per formula unit. Number 7: DOS at the Fermi energy 6.659 states/eV/cell, E_tot -18.320 eV per cell, magnetic moment 0.0 μB per formula unit. Number 8: DOS at the Fermi energy 3.486 states/eV/cell, E_tot -17.676 eV per cell, magnetic moment 0.0 μB per formula unit. Number 9: DOS at the Fermi energy 32.621 states/eV/cell, E_tot -92.518 eV per cell, magnetic moment 0.0 μB per formula unit. Number 10: DOS at the Fermi energy 10.616 states/eV/cell, E_tot -57.219 eV per cell, magnetic moment 0.0 μB per formula unit. Number 11: DOS at the Fermi energy 6.996 states/eV/cell, E_tot -37.614 eV per cell, magnetic moment 0.0 μB per formula unit. Number 12: DOS at the Fermi energy 2.023 states/eV/cell, E_tot -28.644 eV per cell, magnetic moment 0.0 μB per formula unit.